PrCdIr | PBE-GGA | optimized geometry

Summary:
final energy = -62.2 eV/cell
calculated formation energy = -0.328 eV per atom

Cell: 6.787 6.787 6.787 Å, 90.00 90.00 90.00°
Space group F-43m (No. 216)
Unique sites:
Pr (0.000, 0.000, 0.000) x4
Cd (0.000, 0.000, 0.500) x4
Ir (0.250, 0.250, 0.250) x4